Below is a relaxed Sm2CuAs4 crystal, with properties calculated at the PBE level.

M_tot in μB/atom: 0.00
DOS at the Fermi energy in states/eV/cell: 3.746
Crystal system: tetragonal
Formation energy in eV/atom: -0.849
Space-group type: No. 115

Cell lengths 4.0433, 4.0433, 9.3092 Å; angles 90.00, 90.00, 90.00 degrees
Fractional coordinates of all 7 atoms:
Sm (0.5000, 0.0000, 0.7550)
Sm (0.0000, 0.5000, 0.2450)
Cu (0.5000, 0.5000, 0.0000)
As (0.5000, 0.0000, 0.1377)
As (0.0000, 0.5000, 0.8623)
As (0.5000, 0.5000, 0.5000)
As (0.0000, 0.0000, 0.5000)